# InGeBiO2

A PBEsol-optimized structure of InGeBiO2 (SCAN, Alexandria via LeMat-Bulk).

a b c (Å): 4.004 4.004 5.545
angles (deg): 90.00 90.00 90.00
Element x y z (fractional)
In 0.000 0.000 0.000
Ge 0.500 0.500 0.500
Bi 0.500 0.500 0.000
O 0.000 0.500 0.500
O 0.500 0.000 0.500

Calculated values
- total energy (eV per atom) = -28.96
- spin magnetization (Bohr magnetons per cell) = 0.0
- raw formation energy (eV/atom) = -0.260

# GeBiIr3

A PBEsol-optimized structure of GeBiIr3 (SCAN, Alexandria via LeMat-Bulk).

a b c (Å): 4.584 4.584 4.584
angles (deg): 90.00 90.00 90.00
Element x y z (fractional)
Ge 0.000 0.000 0.000
Bi 0.500 0.500 0.500
Ir 0.000 0.000 0.500
Ir 0.000 0.500 0.000
Ir 0.500 0.000 0.000

Calculated values
- total energy (eV per atom) = -61.18
- spin magnetization (Bohr magnetons per cell) = 0.0
- DFT formation energy (eV per atom) = 1.0162